# 1
Computed, not measured: a relaxed BaMgMn crystal at the PBE level of DFT.

Lattice parameters (Å, degrees): 5.523 5.523 5.523 60.00 60.00 60.00
Last column: magnetic moment on the atom in μB.
Fractional coordinates of all 3 atoms:
Ba (0.750, 0.750, 0.750)  -0.11
Mg (0.000, 0.000, 0.000)  -0.02
Mn (0.500, 0.500, 0.500)  4.08

- Formation energy from the elements: 971 meV/atom



# 2
Computed, not measured: a relaxed BaMgMn3 crystal at the PBE level of DFT.

Lattice parameters (Å, degrees): 5.126 5.126 5.126 90.00 90.00 90.00
Last column: magnetic moment on the atom in μB.
Fractional coordinates of all 5 atoms:
Mg (0.000, 0.000, 0.000)  -0.04
Mn (0.000, 0.500, 0.000)  3.94
Mn (0.000, 0.000, 0.500)  3.88
Mn (0.500, 0.000, 0.000)  3.86
Ba (0.500, 0.500, 0.500)  -0.08

- ΔE to the lowest computed polymorph: 0 meV per atom
- Formation energy from the elements: 980 meV/atom



# 3
Computed, not measured: a relaxed BaMg2Mn crystal at the PBE level of DFT.

Lattice parameters (Å, degrees): 10.836 10.836 10.836 18.09 18.09 18.09
Last column: magnetic moment on the atom in μB.
Fractional coordinates of all 4 atoms:
Ba (0.750, 0.750, 0.750)  -0.03
Mg (0.984, 0.984, 0.984)  -0.03
Mg (0.516, 0.516, 0.516)  -0.03
Mn (0.250, 0.250, 0.250)  3.76

- Formation energy from the elements: 472 meV/atom